## CaF (GGA-PBEsol)

Data for a geometry-optimized CaF structure.

```
CaF
1.0
3.8889 0.0000 0.0000
-1.9444 3.3679 0.0000
0.0000 0.0000 6.3347
Ca F
2 2
direct
0.3333 0.6667 0.0000 Ca
0.6667 0.3333 0.5000 Ca
0.3333 0.6667 0.6249 F
0.6667 0.3333 0.1249 F
```

Output
Raw formation energy ... -60.17 kcal/mol of atoms
E_tot ... -4.639 eV/atom
Crystal system ... hexagonal

## LaMo2Se (GGA-PBEsol)

Data for a geometry-optimized LaMo2Se structure.

```
LaMo2Se
1.0
-2.2783 2.2783 3.6195
2.2783 -2.2783 3.6195
2.2783 2.2783 -3.6195
La Mo Se
1 2 1
direct
0.0000 0.0000 0.0000 La
0.5000 0.5000 0.0000 Mo
0.7500 0.2500 0.5000 Mo
0.2500 0.7500 0.5000 Se
```

Output
Raw formation energy ... 7.55 kcal/mol of atoms
E_tot ... -7.856 eV/atom
Crystal system ... tetragonal

## Y2HgRh (GGA-PBEsol)

Data for a geometry-optimized Y2HgRh structure.

```
Y2HgRh
1.0
1.9309 1.1148 7.6020
-1.9309 1.1148 7.6020
0.0000 -2.2296 7.6020
Y Hg Rh
2 1 1
direct
0.2357 0.2357 0.2357 Y
0.7643 0.7643 0.7643 Y
0.0000 0.0000 0.0000 Hg
0.5000 0.5000 0.5000 Rh
```

Output
E_tot ... -6.164 eV/atom
Crystal system ... trigonal
Energy relative to the elements ... -576 meV/atom

## MgZr2Ir (GGA-PBEsol)

Data for a geometry-optimized MgZr2Ir structure.

```
MgZr2Ir
1.0
-2.0140 2.0140 4.5613
2.0140 -2.0140 4.5613
2.0140 2.0140 -4.5613
Mg Zr Ir
1 2 1
direct
0.0000 0.0000 0.0000 Mg
0.5000 0.5000 0.0000 Zr
0.7500 0.2500 0.5000 Zr
0.2500 0.7500 0.5000 Ir
```

Output
E_tot ... -7.684 eV/atom
Crystal system ... tetragonal
Energy relative to the elements ... -254 meV/atom

## CdCo2C (GGA-PBEsol)

Data for a geometry-optimized CdCo2C structure.

```
CdCo2C
1.0
0.0000 2.8289 2.8289
2.8289 0.0000 2.8289
2.8289 2.8289 0.0000
Cd Co C
1 2 1
direct
0.0000 0.0000 0.0000 Cd
0.2500 0.2500 0.2500 Co
0.7500 0.7500 0.7500 Co
0.5000 0.5000 0.5000 C
```

Output
E_tot ... -5.178 eV/atom
Crystal system ... cubic
Energy relative to the elements ... 1401 meV/atom

## Ni2OsSe (GGA-PBEsol)

Data for a geometry-optimized Ni2OsSe structure.

```
Ni2OsSe
1.0
0.0000 2.9282 2.9282
2.9282 0.0000 2.9282
2.9282 2.9282 0.0000
Ni Os Se
2 1 1
direct
0.0000 0.0000 0.0000 Ni
0.2500 0.2500 0.2500 Ni
0.5000 0.5000 0.5000 Os
0.7500 0.7500 0.7500 Se
```

Output
Raw formation energy ... 8.40 kcal/mol of atoms
E_tot ... -6.731 eV/atom
Crystal system ... cubic

## KHgPb2 (GGA-PBEsol)

Data for a geometry-optimized KHgPb2 structure.

```
KHgPb2
1.0
3.6148 0.0000 0.0000
0.0000 4.2840 0.0000
0.0000 0.0000 7.9066
K Hg Pb
1 1 2
direct
0.0000 0.0000 0.0000 K
0.5000 0.5000 0.7414 Hg
0.0000 0.0000 0.5217 Pb
0.5000 0.5000 0.3082 Pb
```

Output
E_tot ... -2.540 eV/atom
Crystal system ... orthorhombic
Energy relative to the elements ... -116 meV/atom

## Ta6V3Ni3C2 (GGA-PBEsol)

Data for a geometry-optimized Ta6V3Ni3C2 structure.

```
Ta6V3Ni3C2
1.0
-4.0263 4.0406 5.7137
4.0263 -4.0406 5.7137
4.0263 4.0406 -5.7137
Ta V Ni C
12 6 6 4
direct
0.0000 0.0000 0.0000 Ta
0.2453 0.1261 0.5006 Ta
0.2453 0.7447 0.1192 Ta
0.2497 0.7497 0.5000 Ta
0.3762 0.3765 0.3810 Ta
0.3762 0.9952 0.9997 Ta
0.3801 0.3801 0.0000 Ta
0.6255 0.1261 0.8808 Ta
0.6255 0.7447 0.4994 Ta
0.6315 0.1315 0.5000 Ta
0.9955 0.3765 0.0003 Ta
0.9955 0.9952 0.6190 Ta
0.0175 0.3559 0.6617 V
0.3154 0.5671 0.7483 V
0.6942 0.3559 0.3383 V
0.8121 0.0543 0.2422 V
0.8121 0.5699 0.7578 V
0.8188 0.5671 0.2517 V
0.0158 0.3598 0.3440 Ni
0.0158 0.6718 0.6560 Ni
0.6061 0.4464 0.8403 Ni
0.6061 0.7657 0.1597 Ni
0.6081 0.7634 0.8448 Ni
0.9186 0.7634 0.1552 Ni
0.3103 0.0614 0.7511 C
0.3103 0.5593 0.2489 C
0.3108 0.0613 0.2494 C
0.8119 0.0613 0.7506 C
```

Output
E_tot ... -10.566 eV/atom
Crystal system ... orthorhombic
Energy relative to the elements ... -425 meV/atom

## BaReMo2 (GGA-PBEsol)

Data for a geometry-optimized BaReMo2 structure.

```
BaReMo2
1.0
3.1900 0.0000 0.0000
0.0000 4.5592 0.0000
0.0000 0.0000 5.0668
Ba Re Mo
1 1 2
direct
0.0000 0.0000 0.0000 Ba
0.5000 0.0000 0.5000 Re
0.0000 0.5000 0.5000 Mo
0.5000 0.5000 0.0000 Mo
```

Output
E_tot ... -8.301 eV/atom
Crystal system ... orthorhombic
Energy relative to the elements ... 1453 meV/atom

## Cr2IrRh (GGA-PBEsol)

Data for a geometry-optimized Cr2IrRh structure.

```
Cr2IrRh
1.0
2.6430 0.0000 0.0000
0.0000 4.1588 0.0000
0.0000 0.0000 4.5479
Cr Ir Rh
2 1 1
direct
0.0000 0.0000 0.0000 Cr
0.0000 0.5000 0.3255 Cr
0.5000 0.5000 0.8434 Ir
0.5000 0.0000 0.4780 Rh
```

Output
E_tot ... -9.783 eV/atom
Crystal system ... orthorhombic
Energy relative to the elements ... -172 meV/atom

## ZnCrOs2 (GGA-PBEsol)

Data for a geometry-optimized ZnCrOs2 structure.

```
ZnCrOs2
1.0
2.6800 0.0000 0.0000
0.0000 3.6159 0.0000
0.0000 0.0000 5.4143
Zn Cr Os
1 1 2
direct
0.0000 0.0000 0.0000 Zn
0.0000 0.0000 0.5000 Cr
0.5000 0.5000 0.2568 Os
0.5000 0.5000 0.7432 Os
```

Output
E_tot ... -8.828 eV/atom
Crystal system ... orthorhombic
Energy relative to the elements ... 236 meV/atom

## AlAgBr2 (GGA-PBEsol)

Data for a geometry-optimized AlAgBr2 structure.

```
AlAgBr2
1.0
0.0000 3.5620 3.5620
3.5620 0.0000 3.5620
3.5620 3.5620 0.0000
Al Ag Br
1 1 2
direct
0.0000 0.0000 0.0000 Al
0.5000 0.5000 0.5000 Ag
0.2500 0.2500 0.2500 Br
0.7500 0.7500 0.7500 Br
```

Output
Raw formation energy ... -1.40 kcal/mol of atoms
E_tot ... -2.846 eV/atom
Crystal system ... cubic

## Ni2C2Cl (GGA-PBEsol)

Data for a geometry-optimized Ni2C2Cl structure.

```
Ni2C2Cl
1.0
-1.8614 1.8614 3.5071
1.8614 -1.8614 3.5071
1.8614 1.8614 -3.5071
Ni C Cl
2 2 1
direct
0.2500 0.7500 0.5000 Ni
0.7500 0.2500 0.5000 Ni
0.1002 0.1002 0.0000 C
0.8998 0.8998 0.0000 C
0.5000 0.5000 0.0000 Cl
```

Output
Raw formation energy ... 21.77 kcal/mol of atoms
E_tot ... -5.778 eV/atom
Crystal system ... tetragonal

## Cd2CuNi (GGA-PBEsol)

Data for a geometry-optimized Cd2CuNi structure.

```
Cd2CuNi
1.0
2.8345 0.0000 0.0000
0.0000 4.2001 0.0000
-1.3962 0.0000 5.0719
Cd Cu Ni
2 1 1
direct
0.0000 0.0000 0.0000 Cd
0.3242 0.5000 0.6539 Cd
0.5988 0.5000 0.2011 Cu
0.7282 0.0000 0.4597 Ni
```

Output
E_tot ... -3.155 eV/atom
Crystal system ... monoclinic
Energy relative to the elements ... 66 meV/atom

## MgSCl2F (GGA-PBEsol)

Data for a geometry-optimized MgSCl2F structure.

```
MgSCl2F
1.0
5.1799 0.0000 0.0000
0.0000 5.1799 0.0000
0.0000 0.0000 3.6416
Mg S Cl F
1 1 2 1
direct
0.0000 0.0000 0.0000 Mg
0.5000 0.5000 0.0000 S
0.0000 0.5000 0.5000 Cl
0.5000 0.0000 0.5000 Cl
0.5000 0.5000 0.5000 F
```

Output
Raw formation energy ... -6.79 kcal/mol of atoms
E_tot ... -2.703 eV/atom
Crystal system ... tetragonal

## Hf6Al2Co (GGA-PBEsol)

Data for a geometry-optimized Hf6Al2Co structure.

```
Hf6Al2Co
1.0
7.7642 0.0000 0.0000
-3.8821 6.7240 0.0000
0.0000 0.0000 3.2470
Hf Al Co
6 2 1
direct
0.0000 0.3969 0.0000 Hf
0.0000 0.7491 0.5000 Hf
0.2509 0.2509 0.5000 Hf
0.3969 0.0000 0.0000 Hf
0.6031 0.6031 0.0000 Hf
0.7491 0.0000 0.5000 Hf
0.3333 0.6667 0.5000 Al
0.6667 0.3333 0.5000 Al
0.0000 0.0000 0.0000 Co
```

Output
E_tot ... -9.109 eV/atom
Crystal system ... hexagonal
Energy relative to the elements ... -338 meV/atom

## ZrAlZn3 (GGA-PBEsol)

Data for a geometry-optimized ZrAlZn3 structure.

```
ZrAlZn3
1.0
5.0884 0.0000 0.0000
0.0000 5.0884 0.0000
0.0000 0.0000 5.0884
Zr Al Zn
1 1 3
direct
0.0000 0.0000 0.0000 Zr
0.5000 0.5000 0.5000 Al
0.0000 0.0000 0.5000 Zn
0.0000 0.5000 0.0000 Zn
0.5000 0.0000 0.0000 Zn
```

Output
E_tot ... -2.401 eV/atom
Crystal system ... cubic
Energy relative to the elements ... 1185 meV/atom

## LiCa2Cd (GGA-PBEsol)

Data for a geometry-optimized LiCa2Cd structure.

```
LiCa2Cd
1.0
3.8274 0.0000 0.0000
0.0000 3.8274 0.0000
0.0000 0.0000 7.8219
Li Ca Cd
1 2 1
direct
0.0000 0.0000 0.0000 Li
0.5000 0.5000 0.2662 Ca
0.5000 0.5000 0.7338 Ca
0.0000 0.0000 0.5000 Cd
```

Output
E_tot ... -2.045 eV/atom
Crystal system ... tetragonal
Energy relative to the elements ... -187 meV/atom

## YCdIr2 (GGA-PBEsol)

Data for a geometry-optimized YCdIr2 structure.

```
YCdIr2
1.0
-2.0046 2.0046 4.3710
2.0046 -2.0046 4.3710
2.0046 2.0046 -4.3710
Y Cd Ir
1 1 2
direct
0.0000 0.0000 0.0000 Y
0.7500 0.2500 0.5000 Cd
0.2500 0.7500 0.5000 Ir
0.5000 0.5000 0.0000 Ir
```

Output
E_tot ... -7.105 eV/atom
Crystal system ... tetragonal
Energy relative to the elements ... -188 meV/atom

## HfP2SN (GGA-PBEsol)

Data for a geometry-optimized HfP2SN structure.

```
HfP2SN
1.0
4.9677 0.0000 0.0000
0.0000 4.9677 0.0000
0.0000 0.0000 4.8206
Hf P S N
1 2 1 1
direct
0.0000 0.0000 0.0000 Hf
0.0000 0.5000 0.0000 P
0.5000 0.0000 0.0000 P
0.0000 0.0000 0.5000 S
0.5000 0.5000 0.5000 N
```

Output
Raw formation energy ... 27.70 kcal/mol of atoms
E_tot ... -5.798 eV/atom
Crystal system ... tetragonal

## SrLaNi2 (GGA-PBEsol)

Data for a geometry-optimized SrLaNi2 structure.

```
SrLaNi2
1.0
2.2602 1.3049 5.2386
-2.2602 1.3049 5.2386
0.0000 -2.6098 5.2386
Sr La Ni
1 1 2
direct
0.0000 0.0000 0.0000 Sr
0.5000 0.5000 0.5000 La
0.2053 0.2053 0.2053 Ni
0.7947 0.7947 0.7947 Ni
```

Output
E_tot ... -4.884 eV/atom
Crystal system ... trigonal
Energy relative to the elements ... -9 meV/atom

## BaTcSbC2 (GGA-PBEsol)

Data for a geometry-optimized BaTcSbC2 structure.

```
BaTcSbC2
1.0
4.5092 0.0000 0.0000
0.0000 4.5092 0.0000
0.0000 0.0000 6.2539
Ba Tc Sb C
1 1 1 2
direct
0.0000 0.0000 0.0000 Ba
0.5000 0.5000 0.5000 Tc
0.0000 0.0000 0.5000 Sb
0.0000 0.5000 0.0000 C
0.5000 0.0000 0.0000 C
```

Output
Raw formation energy ... 76.25 kcal/mol of atoms
E_tot ... -4.146 eV/atom
Crystal system ... tetragonal

## MnSb2TeN (GGA-PBEsol)

Data for a geometry-optimized MnSb2TeN structure.

```
MnSb2TeN
1.0
4.8809 0.0000 0.0000
0.0000 4.8809 0.0000
0.0000 0.0000 4.9481
Mn Sb Te N
1 2 1 1
direct
0.0000 0.0000 0.0000 Mn
0.0000 0.5000 0.0000 Sb
0.5000 0.0000 0.0000 Sb
0.0000 0.0000 0.5000 Te
0.5000 0.5000 0.5000 N
```

Output
Raw formation energy ... 29.26 kcal/mol of atoms
E_tot ... -4.917 eV/atom
Crystal system ... tetragonal

## NbHg2BiO (GGA-PBEsol)

Data for a geometry-optimized NbHg2BiO structure.

```
NbHg2BiO
1.0
5.6151 0.0000 0.0000
0.0000 5.6151 0.0000
0.0000 0.0000 4.1608
Nb Hg Bi O
1 2 1 1
direct
0.0000 0.0000 0.0000 Nb
0.0000 0.5000 0.5000 Hg
0.5000 0.0000 0.5000 Hg
0.5000 0.5000 0.5000 Bi
0.5000 0.5000 0.0000 O
```

Output
Raw formation energy ... 21.09 kcal/mol of atoms
E_tot ... -3.384 eV/atom
Crystal system ... tetragonal

## Mg2TlCd2 (GGA-PBEsol)

Data for a geometry-optimized Mg2TlCd2 structure.

```
Mg2TlCd2
1.0
-2.1312 2.1312 6.7700
2.1312 -2.1312 6.7700
2.1312 2.1312 -6.7700
Mg Tl Cd
2 1 2
direct
0.2500 0.7500 0.5000 Mg
0.7500 0.2500 0.5000 Mg
0.0000 0.0000 0.0000 Tl
0.3980 0.3980 0.0000 Cd
0.6020 0.6020 0.0000 Cd
```

Output
E_tot ... -1.619 eV/atom
Crystal system ... tetragonal
Energy relative to the elements ... 73 meV/atom

## Ba2ZrO4 (GGA-PBEsol)

Data for a geometry-optimized Ba2ZrO4 structure.

```
Ba2ZrO4
1.0
-2.0902 2.0902 6.7156
2.0902 -2.0902 6.7156
2.0902 2.0902 -6.7156
Ba Zr O
2 1 4
direct
0.1468 0.1468 0.0000 Ba
0.8532 0.8532 0.0000 Ba
0.5000 0.5000 0.0000 Zr
0.0000 0.5000 0.5000 O
0.3428 0.3428 0.0000 O
0.5000 0.0000 0.5000 O
0.6572 0.6572 0.0000 O
```

Output
Raw formation energy ... -71.86 kcal/mol of atoms
E_tot ... -8.028 eV/atom
Crystal system ... tetragonal

## Na2BiSb2 (GGA-PBEsol)

Data for a geometry-optimized Na2BiSb2 structure.

```
Na2BiSb2
1.0
9.0779 0.0000 0.0000
0.0000 9.0779 0.0000
0.0000 0.0000 3.2816
Na Bi Sb
4 2 4
direct
0.1185 0.3815 0.0000 Na
0.3815 0.8815 0.0000 Na
0.6185 0.1185 0.0000 Na
0.8815 0.6185 0.0000 Na
0.0000 0.0000 0.5000 Bi
0.5000 0.5000 0.5000 Bi
0.1809 0.6809 0.5000 Sb
0.3191 0.1809 0.5000 Sb
0.6809 0.8191 0.5000 Sb
0.8191 0.3191 0.5000 Sb
```

Output
Raw formation energy ... -4.50 kcal/mol of atoms
E_tot ... -3.435 eV/atom
Crystal system ... tetragonal

## La2SbIr (GGA-PBEsol)

Data for a geometry-optimized La2SbIr structure.

```
La2SbIr
1.0
4.3199 0.0000 0.0000
0.0000 2.1637 5.7360
0.0000 -2.1637 5.7360
La Sb Ir
2 1 1
direct
0.0000 0.0000 0.0000 La
0.5000 0.2891 0.2891 La
0.5000 0.5804 0.5804 Sb
0.0000 0.7479 0.7479 Ir
```

Output
Raw formation energy ... -19.53 kcal/mol of atoms
E_tot ... -7.115 eV/atom
Crystal system ... orthorhombic